(1)
3
Lattice="-0.749 3.943 3.031 -3.445 3.466 -1.187 -4.245 0.345 2.674" Properties=species:S:1:pos:R:3 comment="PrTmGa, optimized geometry, DFT PBE" total_magnetization_mub_per_cell=0.00 space_group="No. 216" density_g_cm3=7.0 total_energy_ev_per_cell=-12.953 pbc="T T T"
Pr -4.220 3.877 2.259
Tm 0.000 0.000 0.000
Ga -2.110 1.938 1.130


(2)
6
Lattice="-2.218 3.158 3.415 -3.900 3.038 -1.454 -4.778 -0.962 1.674" Properties=species:S:1:pos:R:3 comment="TaBeRe4, optimized geometry, DFT PBE" total_magnetization_mub_per_cell=0.00 space_group="No. 216" density_g_cm3=16.0 total_energy_ev_per_cell=-63.584 pbc="T T T"
Ta -2.724 1.308 0.909
Be 0.000 0.000 0.000
Re -6.815 3.274 2.274
Re -4.417 3.757 1.433
Re -4.857 1.749 3.004
Re -5.702 1.689 0.559


(3)
5
Lattice="5.988 0.000 0.000 0.000 5.988 0.000 0.000 0.000 5.988" Properties=species:S:1:pos:R:3 comment="KTl3Ge, optimized geometry, DFT PBE" total_magnetization_mub_per_cell=0.00 space_group="No. 221" density_g_cm3=5.6 total_energy_ev_per_cell=-8.322 pbc="T T T"
K 0.000 0.000 0.000
Tl 0.000 2.994 0.000
Tl 0.000 0.000 2.994
Tl 2.994 0.000 0.000
Ge 2.994 2.994 2.994